Record 1
Compound: SrAgPdPb
Source: Alexandria
Functional: PBE
Structure: optimized geometry

Total energy in eV per cell: -58.74
Energy of formation from the pure elements in kcal/mol of atoms: -7.21
Magnetization in μB per formula unit: 0.000
Calculated volume in Å³ per atom: 24.1

Cell lengths 7.2773, 7.2773, 7.2773 Å; angles 90.00, 90.00, 90.00 degrees
Closest atoms and distances in Å follow each position.
Space group F-43m (No. 216)
Inequivalent atoms, fractional coordinates:
Sr: 0.0000 0.0000 0.0000 [4 per cell]  4 Pd 3.15, 4 Ag 3.15
Ag: 0.2500 0.2500 0.7500 [4 per cell]  4 Sr 3.15, 4 Pb 3.15
Pd: 0.2500 0.2500 0.2500 [4 per cell]  4 Pb 3.15, 4 Sr 3.15
Pb: 0.0000 0.0000 0.5000 [4 per cell]  4 Ag 3.15, 4 Pd 3.15

---

Record 2
Compound: LiPuSbRh
Source: Alexandria
Functional: PBE
Structure: optimized geometry

Total energy in eV per cell: -119.73
Uncorrected formation energy in eV per atom: -0.553
Magnetization in μB per formula unit: 5.008
Calculated volume in Å³ per atom: 18.8

Cell lengths 6.7062, 6.7062, 6.7062 Å; angles 90.00, 90.00, 90.00 degrees
Closest atoms and distances in Å follow each position.
Space group F-43m (No. 216)
Inequivalent atoms, fractional coordinates:
Li: 0.0000 0.0000 0.0000 [4 per cell]  4 Sb 2.90, 4 Pu 2.90
Pu: 0.2500 0.2500 0.2500 [4 per cell]  4 Li 2.90, 4 Rh 2.90
Sb: 0.2500 0.2500 0.7500 [4 per cell]  4 Li 2.90, 4 Rh 2.90
Rh: 0.0000 0.0000 0.5000 [4 per cell]  4 Sb 2.90, 4 Pu 2.90